# GGA-PBE Nd3DyHo6Er2, optimized geometry
data_Nd3DyHo6Er2
_chemical_formula_sum 'Nd3 Dy1 Ho6 Er2'
_cell_length_a 6.172
_cell_length_b 6.172
_cell_length_c 11.776
_cell_angle_alpha 95.00
_cell_angle_beta 95.00
_cell_angle_gamma 119.98
_symmetry_space_group_name_H-M 'P 1'
_symmetry_Int_Tables_number 1
loop_
_symmetry_equiv_pos_as_xyz
'x,y,z'
loop_
_atom_site_label
_atom_site_fract_x
_atom_site_fract_y
_atom_site_fract_z
_atom_site_occupancy
Nd1 0.167 0.833 0.500 1
Nd2 0.833 0.167 0.500 1
Nd3 0.500 0.500 0.500 1
Dy1 0.000 0.000 0.000 1
Ho1 0.918 0.584 0.754 1
Ho2 0.749 0.749 0.246 1
Ho3 0.082 0.416 0.246 1
Ho4 0.584 0.918 0.754 1
Ho5 0.251 0.251 0.754 1
Ho6 0.416 0.082 0.246 1
Er1 0.333 0.667 0.000 1
Er2 0.667 0.333 0.000 1
# Raw total energy: -55.26 eV per formula unit
# Space group: C2/m
# Energy of formation: 0.020 eV per atom